The following is a DFT calculation (PBE) of an optimized crystal structure of TbGa2Cu6.

Cell lengths 7.1800, 7.1800, 7.1800 Å; angles 152.21, 123.65, 63.97 degrees
Fractional positions:
Tb 0.0000 0.0000 0.0000
Ga 0.3609 0.8609 0.5000
Ga 0.6391 0.1391 0.5000
Cu 0.0046 0.3179 0.6867
Cu 0.3295 0.5000 0.8295
Cu 0.3688 0.6821 0.6867
Cu 0.6312 0.3179 0.3133
Cu 0.6705 0.5000 0.1705
Cu 0.9954 0.6821 0.3133

The following is a DFT calculation (PBE) of an optimized crystal structure of Tb2Ga3Cu5.

Computed properties:
**Offset from the most stable computed form**: 0.00 eV/f.u.

Cell lengths 8.2343, 8.2343, 5.7485 Å; angles 110.38, 110.38, 87.57 degrees
Fractional positions:
Tb 0.1122 0.3637 0.2379
Tb 0.3637 0.1122 0.7379
Tb 0.6363 0.8878 0.2621
Tb 0.8878 0.6363 0.7621
Ga 0.0082 0.7441 0.3769
Ga 0.2559 0.9918 0.1231
Ga 0.5002 0.4998 0.2500
Ga 0.4998 0.5002 0.7500
Ga 0.7441 0.0082 0.8769
Ga 0.9918 0.2559 0.6231
Cu 0.0006 0.9994 0.2500
Cu 0.2351 0.4726 0.8545
Cu 0.2646 0.7354 0.2500
Cu 0.2650 0.7350 0.7500
Cu 0.4726 0.2351 0.3545
Cu 0.5274 0.7649 0.6455
Cu 0.7350 0.2650 0.2500
Cu 0.7354 0.2646 0.7500
Cu 0.7649 0.5274 0.1455
Cu 0.9994 0.0006 0.7500

The following is a DFT calculation (PBE) of an optimized crystal structure of Tb2Ga5Cu4.

Cell lengths 8.8375, 8.0043, 5.4030 Å; angles 79.91, 63.09, 37.01 degrees
Fractional positions:
Tb 0.1389 0.1389 0.8611
Tb 0.8611 0.8611 0.1389
Ga 0.0000 0.0000 0.5000
Ga 0.2500 0.2500 0.2500
Ga 0.5000 0.5000 0.0000
Ga 0.5000 0.5000 0.5000
Ga 0.7500 0.7500 0.7500
Cu 0.2242 0.5046 0.4954
Cu 0.4954 0.7758 0.2242
Cu 0.5046 0.2242 0.7758
Cu 0.7758 0.4954 0.5046

The following is a DFT calculation (PBE) of an optimized crystal structure of Tb4GaCu2.

Computed properties:
**Offset from the most stable computed form**: 0.18 eV/f.u.

Cell lengths 8.4473, 8.4473, 8.4473 Å; angles 34.07, 34.07, 34.07 degrees
Fractional positions:
Tb 0.1192 0.1192 0.1192
Tb 0.3719 0.3719 0.3719
Tb 0.6281 0.6281 0.6281
Tb 0.8808 0.8808 0.8808
Ga 0.5000 0.5000 0.5000
Cu 0.2458 0.2458 0.2458
Cu 0.7542 0.7542 0.7542

The following is a DFT calculation (PBE) of an optimized crystal structure of Tb6Ga2Cu.

Cell lengths 8.5333, 8.5333, 8.5333 Å; angles 146.44, 131.50, 60.27 degrees
Fractional positions:
Tb 0.0822 0.3364 0.7458
Tb 0.2423 0.0000 0.2423
Tb 0.4094 0.6636 0.7458
Tb 0.5906 0.3364 0.2542
Tb 0.7577 0.0000 0.7577
Tb 0.9178 0.6636 0.2542
Ga 0.3330 0.8330 0.5000
Ga 0.6670 0.1670 0.5000
Cu 0.0000 0.5000 0.5000

The following is a DFT calculation (PBE) of an optimized crystal structure of Tb12Ga6Cu.

Cell lengths 8.4478, 8.4478, 8.4478 Å; angles 99.93, 99.93, 99.93 degrees
Fractional positions:
Tb 0.0479 0.6810 0.9307
Tb 0.0693 0.9521 0.3190
Tb 0.1803 0.4272 0.5686
Tb 0.3190 0.0693 0.9521
Tb 0.4272 0.5686 0.1803
Tb 0.4314 0.8197 0.5728
Tb 0.5686 0.1803 0.4272
Tb 0.5728 0.4314 0.8197
Tb 0.6810 0.9307 0.0479
Tb 0.8197 0.5728 0.4314
Tb 0.9307 0.0479 0.6810
Tb 0.9521 0.3190 0.0693
Ga 0.1352 0.6174 0.3030
Ga 0.3030 0.1352 0.6174
Ga 0.3826 0.6970 0.8648
Ga 0.6174 0.3030 0.1352
Ga 0.6970 0.8648 0.3826
Ga 0.8648 0.3826 0.6970
Cu 0.0000 0.0000 0.0000

The following is a DFT calculation (PBE) of an optimized crystal structure of TbGa12Cu6.

Cell lengths 7.1314, 7.1314, 7.1314 Å; angles 104.55, 104.55, 104.55 degrees
Fractional positions:
Tb 0.0000 0.0000 0.0000
Ga 0.1125 0.5000 0.8875
Ga 0.1125 0.8875 0.5000
Ga 0.1419 0.3938 0.3938
Ga 0.3938 0.1419 0.3938
Ga 0.3938 0.3938 0.1419
Ga 0.5000 0.1125 0.8875
Ga 0.5000 0.8875 0.1125
Ga 0.6062 0.6062 0.8581
Ga 0.6062 0.8581 0.6062
Ga 0.8581 0.6062 0.6062
Ga 0.8875 0.1125 0.5000
Ga 0.8875 0.5000 0.1125
Cu 0.2867 0.7113 0.7113
Cu 0.2887 0.2887 0.7133
Cu 0.2887 0.7133 0.2887
Cu 0.7113 0.2867 0.7113
Cu 0.7113 0.7113 0.2867
Cu 0.7133 0.2887 0.2887

The following is a DFT calculation (PBE) of an optimized crystal structure of Tb4Ga16Cu3.

Cell lengths 6.2200, 6.2200, 10.9971 Å; angles 90.00, 90.00, 90.00 degrees
Fractional positions:
Tb 0.0000 0.5000 0.1906
Tb 0.0000 0.5000 0.8094
Tb 0.5000 0.0000 0.1906
Tb 0.5000 0.0000 0.8094
Ga 0.0000 0.0000 0.1999
Ga 0.0000 0.0000 0.8001
Ga 0.2138 0.2138 0.0000
Ga 0.2138 0.7862 0.0000
Ga 0.2427 0.2427 0.3795
Ga 0.2427 0.2427 0.6205
Ga 0.2427 0.7573 0.3795
Ga 0.2427 0.7573 0.6205
Ga 0.5000 0.5000 0.2319
Ga 0.5000 0.5000 0.7681
Ga 0.7573 0.2427 0.3795
Ga 0.7573 0.2427 0.6205
Ga 0.7573 0.7573 0.3795
Ga 0.7573 0.7573 0.6205
Ga 0.7862 0.2138 0.0000
Ga 0.7862 0.7862 0.0000
Cu 0.0000 0.5000 0.5000
Cu 0.5000 0.0000 0.5000
Cu 0.5000 0.5000 0.0000

Number 1: energy -3.956 eV per atom. Number 2: energy -4.237 eV per atom. Number 3: energy -4.045 eV per atom. Number 4: energy -4.466 eV per atom. Number 5: energy -4.356 eV per atom. Number 6: energy -4.257 eV per atom. Number 7: energy -3.522 eV per atom. Number 8: energy -3.847 eV per atom.